The following is a DFT calculation (PBE) of crystalline Sm6Y2HoSc at its relaxed geometry.

a b c (Å): 6.309 6.309 8.881
angles (deg): 99.30 99.30 73.88
Sites, in units of the cell vectors:
1 Sm 0.083 0.652 0.719
2 Sm 0.345 0.345 0.058
3 Sm 0.348 0.917 0.281
4 Sm 0.652 0.083 0.719
5 Sm 0.655 0.655 0.942
6 Sm 0.917 0.348 0.281
7 Y 0.134 0.134 0.639
8 Y 0.866 0.866 0.361
9 Ho 0.500 0.500 0.500
10 Sc 0.000 0.000 0.000

Calculated values
**Calculated volume**: 333 Å³/cell
**Magnetization**: 0.0 μB/f.u.
**Uncorrected energy**: -0.1829 Ha/atom
**ΔH_f (0 K)**: 0.238 eV/atom

The following is a DFT calculation (PBE) of crystalline SmY2Ho6Sc3 at its relaxed geometry.

a b c (Å): 6.037 6.037 11.470
angles (deg): 95.03 95.03 119.97
Sites, in units of the cell vectors:
1 Sm 0.000 0.000 0.000
2 Y 0.333 0.667 0.000
3 Y 0.667 0.333 0.000
4 Ho 0.087 0.420 0.261
5 Ho 0.246 0.246 0.740
6 Ho 0.420 0.087 0.261
7 Ho 0.580 0.913 0.739
8 Ho 0.754 0.754 0.260
9 Ho 0.913 0.580 0.739
10 Sc 0.167 0.833 0.500
11 Sc 0.500 0.500 0.500
12 Sc 0.833 0.167 0.500

Calculated values
**Calculated volume**: 357 Å³/cell
**Magnetization**: 0.0 μB/f.u.
**Uncorrected energy**: -0.1946 Ha/atom
**ΔH_f (0 K)**: 0.046 eV/atom